# Er2ScAg PBE-GGA optimized geometry
# - Distance to the lowest polymorph of the same formula: 147 meV/atom
# - Total magnetic moment: 0.0 μB/f.u.
# - Calculated volume: 403.7 Å³ per cell
data_Er2ScAg
_chemical_formula_sum 'Er8 Sc4 Ag4'
_symmetry_space_group_name_H-M 'F m -3 m'
_symmetry_Int_Tables_number 225
_symmetry_space_group_name_Hall '-F 4 2 3'
_cell_length_a 7.390
_cell_length_b 7.390
_cell_length_c 7.390
_cell_angle_alpha 90.00
_cell_angle_beta 90.00
_cell_angle_gamma 90.00
loop_
_atom_site_label
_atom_site_type_symbol
_atom_site_fract_x
_atom_site_fract_y
_atom_site_fract_z
Er1 Er 0.250 0.250 0.250
Sc1 Sc 0.000 0.000 0.000
Ag1 Ag 0.000 0.000 0.500